This record from Alexandria describes a relaxed ScFe2Hg crystal. The functional is PBE.

Output
uncorrected energy	-22.8	eV for the cell shown
space group	P4/mmm, No. 123
magnetization	4.07	μB per formula unit

Lattice parameters (Å, degrees): 3.3413 3.3413 5.8608 90.00 90.00 90.00
Element x y z (fractional)
Sc 0.0000 0.0000 0.0000
Fe 0.5000 0.5000 0.2406
Fe 0.5000 0.5000 0.7594
Hg 0.0000 0.0000 0.5000